(1)
DFT (PBE-GGA) results for a relaxed Nd14SmSc crystal.

## Properties
**Formation enthalpy at 0 K**: 22.0 meV per atom
**V**: 34.4 A^3/atom
**Calculated total energy**: -4.8405 eV per atom

Cell: 7.3062 7.3062 10.3194 Å, 90.00 90.00 90.00°
Last column: nearest neighbours and their distance in Å.
Space group P4/mmm (No. 123)
Unique sites:
Nd 0.0000 0.0000 0.0000 x1  12 Nd 3.65-3.66
Nd 0.0000 0.5000 0.0000 x2  12 Nd 3.65-3.68
Nd 0.0000 0.5000 0.5000 x2  8 Nd 3.62, 2 Sc 3.65, 2 Sm 3.65
Nd 0.2472 0.2472 0.2542 x8  1 Sc 3.60, 10 Nd 3.61-3.70, 1 Sm 3.64
Nd 0.5000 0.5000 0.0000 x1  12 Nd 3.65-3.70
Sm 0.5000 0.5000 0.5000 x1  12 Nd 3.64-3.65
Sc 0.0000 0.0000 0.5000 x1  12 Nd 3.60-3.65

(2)
DFT (PBE-GGA) results for a relaxed Nd2Sm8Sc crystal.

## Properties
**Formation enthalpy at 0 K**: 28.0 meV per atom
**Distance to the lowest polymorph of the same formula**: 0 meV per atom
**V**: 33.1 A^3/atom
**Calculated total energy**: -4.8466 eV per atom

Cell: 18.3671 5.1042 8.0625 Å, 90.00 105.33 90.00°
Last column: nearest neighbours and their distance in Å.
Space group C2/m (No. 12)
Unique sites:
Nd 0.2261 0.0000 0.1364 x4  10 Sm 3.61-3.65, 2 Nd 3.63
Sm 0.0445 0.0000 0.2308 x4  9 Sm 3.53-3.66, 2 Sc 3.58, 1 Nd 3.61
Sm 0.0890 0.5000 0.9471 x4  1 Sc 3.54, 8 Sm 3.57-3.66, 3 Nd 3.63
Sm 0.1340 0.0000 0.6764 x4  7 Sm 3.53-3.67, 2 Sc 3.57, 3 Nd 3.65
Sm 0.1797 0.5000 0.4094 x4  1 Sc 3.56, 8 Sm 3.58-3.67, 3 Nd 3.61-3.62
Sc 0.0000 0.5000 0.5000 x2  12 Sm 3.54-3.58

(3)
DFT (PBE-GGA) results for a relaxed Nd2Sm4Sc crystal.

## Properties
**Formation enthalpy at 0 K**: 35.4 meV per atom
**Distance to the lowest polymorph of the same formula**: 0 meV per atom
**V**: 32.7 A^3/atom
**Calculated total energy**: -4.9280 eV per atom

Cell: 6.2124 9.4903 9.4920 Å, 115.26 108.83 96.35°
Last column: nearest neighbours and their distance in Å.
Space group P1 (No. 1)
Unique sites:
Nd 0.0000 0.0000 0.0000 x1  9 Sm 3.61-3.63, 3 Nd 3.62
Nd 0.9999 0.5002 0.5000 x1  8 Sm 3.55-3.63, 2 Nd 3.59-3.63, 2 Sc 3.61
Nd 0.1497 0.4319 0.1411 x1  3 Sc 3.52-3.60, 7 Sm 3.52-3.64, 2 Nd 3.62-3.63
Nd 0.4279 0.7790 0.9293 x1  2 Sc 3.52-3.53, 7 Sm 3.54-3.72, 3 Nd 3.59-3.62
Sm 0.1447 0.9323 0.6419 x1  7 Sm 3.53-3.63, 2 Sc 3.56-3.63, 3 Nd 3.61-3.68
Sm 0.2839 0.8532 0.2852 x1  3 Nd 3.52-3.61, 7 Sm 3.55-3.63, 2 Sc 3.56-3.59
Sm 0.4241 0.2852 0.4322 x1  7 Sm 3.55-3.66, 1 Sc 3.56, 4 Nd 3.56-3.64
Sm 0.5728 0.2215 0.0709 x1  2 Sc 3.52, 6 Nd 3.54-3.72, 4 Sm 3.57-3.67
Sm 0.5772 0.7149 0.5683 x1  5 Nd 3.55-3.66, 6 Sm 3.56-3.63, 1 Sc 3.56
Sm 0.7159 0.1473 0.7150 x1  8 Sm 3.52-3.63, 2 Sc 3.57, 2 Nd 3.60-3.62
Sm 0.8502 0.5677 0.8585 x1  4 Sm 3.52-3.63, 3 Sc 3.52-3.60, 5 Nd 3.54-3.63
Sm 0.8566 0.0691 0.3588 x1  7 Sm 3.53-3.67, 2 Sc 3.57-3.62, 3 Nd 3.61-3.62
Sc 0.2876 0.3584 0.7891 x1  3 Nd 3.52-3.61, 8 Sm 3.52-3.62, 1 Sc 3.56
Sc 0.7136 0.6414 0.2110 x1  7 Sm 3.52-3.63, 4 Nd 3.53-3.61, 1 Sc 3.56

(4)
DFT (PBE-GGA) results for a relaxed Nd2SmSc2 crystal.

## Properties
**Formation enthalpy at 0 K**: 107.5 meV per atom
**V**: 30.2 A^3/atom
**Calculated total energy**: -5.2761 eV per atom

Cell: 6.5633 15.7119 6.5816 Å, 90.00 117.20 90.00°
Last column: nearest neighbours and their distance in Å.
Space group C2/c (No. 15)
Unique sites:
Nd 0.2474 0.0463 0.0024 x8  2 Sc 3.22-3.53, 1 Sm 3.34, 5 Nd 3.42-3.60
Sm 0.0000 0.3412 0.2500 x4  1 Sc 3.00, 2 Nd 3.34
Sc 0.0000 0.1502 0.2500 x4  1 Sm 3.00, 2 Nd 3.22
Sc 0.0000 0.2508 0.7500 x4  6 Sc 3.42-3.65, 4 Sm 3.58-3.59, 4 Nd 3.62-3.64

(5)
DFT (PBE-GGA) results for a relaxed Nd8Sm5Sc crystal.

## Properties
**Formation enthalpy at 0 K**: 250.6 meV per atom
**V**: 34.8 A^3/atom
**Calculated total energy**: -4.6116 eV per atom

Cell: 9.7756 9.7756 10.1833 Å, 90.00 90.00 90.00°
Last column: nearest neighbours and their distance in Å.
Space group I-4 (No. 82)
Unique sites:
Nd 0.0672 0.3294 0.0909 x8  5 Sm 3.41-3.67, 3 Nd 3.58-3.81
Nd 0.0824 0.1895 0.7539 x8  1 Sc 3.14, 3 Sm 3.22-3.45
Sm 0.0000 0.0000 0.0000 x2  8 Nd 3.22-3.41
Sm 0.1033 0.2069 0.4222 x8  8 Nd 3.39-3.67, 2 Sm 3.57
Sc 0.0000 0.5000 0.7500 x2  4 Nd 3.14

(6)
DFT (PBE-GGA) results for a relaxed Nd2Sm15Sc2 crystal.

## Properties
**Formation enthalpy at 0 K**: 263.5 meV per atom
**V**: 34.2 A^3/atom
**Calculated total energy**: -4.6305 eV per atom

Cell: 11.2677 11.2677 17.7482 Å, 90.00 90.00 120.00°
Last column: nearest neighbours and their distance in Å.
Space group R-3m (No. 166, hexagonal axes)
Unique sites:
Nd 0.0000 0.0000 0.1816 x6  15 Sm 4.01-4.22, 1 Sc 4.05
Sm 0.0000 0.2910 0.5000 x18  6 Sm 3.28-3.41, 2 Sc 3.65
Sm 0.0000 0.5000 0.0000 x9  8 Sm 3.36-3.41, 2 Sc 3.52
Sm 0.0132 0.5066 0.6363 x18  6 Sm 3.30-3.38
Sc 0.0000 0.0000 0.4096 x6  1 Sc 3.21, 3 Sm 3.52

(7)
DFT (PBE-GGA) results for a relaxed Nd3Sm8Sc crystal.

## Properties
**Formation enthalpy at 0 K**: 544.4 meV per atom
**V**: 36.7 A^3/atom
**Calculated total energy**: -4.3213 eV per atom

Cell: 8.7580 8.7580 11.4918 Å, 90.00 90.00 90.00°
Last column: nearest neighbours and their distance in Å.
Space group I-42m (No. 121)
Unique sites:
Nd 0.0000 0.0000 0.0000 x2  8 Sm 3.26-3.34
Nd 0.0000 0.5000 0.2500 x4  4 Sm 3.46
Sm 0.1253 0.1253 0.2575 x8  3 Sm 3.10-3.32, 1 Sc 3.19, 3 Nd 3.34-3.46
Sm 0.2375 0.2375 0.5199 x8  1 Sc 2.95, 1 Sm 3.22, 1 Nd 3.26
Sc 0.0000 0.0000 0.5000 x2  8 Sm 2.95-3.19

(8)
DFT (PBE-GGA) results for a relaxed NdSm3Sc4 crystal.

## Properties
**Formation enthalpy at 0 K**: 55.7 meV per atom
**V**: 29.3 A^3/atom
**Calculated total energy**: -5.4757 eV per atom

Cell: 10.8964 7.2143 5.9561 Å, 90.00 90.00 90.00°
Last column: nearest neighbours and their distance in Å.
Space group Pmn2_1 (No. 31)
Unique sites:
Nd 0.0000 0.1394 0.0000 x2  5 Sc 3.37-3.56, 6 Sm 3.47-3.60
Sm 0.0000 0.8599 0.4986 x2  5 Sc 3.37-3.57, 4 Sm 3.47-3.50, 2 Nd 3.59-3.60
Sm 0.2503 0.1406 0.3603 x4  5 Sc 3.36-3.56, 4 Sm 3.47-3.60, 2 Nd 3.47-3.49
Sc 0.0000 0.3933 0.5127 x2  6 Sc 3.28-3.38, 3 Sm 3.37-3.40, 2 Nd 3.43-3.56
Sc 0.0000 0.6063 0.0124 x2  6 Sc 3.29-3.37, 1 Nd 3.37, 4 Sm 3.40-3.57
Sc 0.2494 0.6069 0.3470 x4  6 Sc 3.28-3.38, 4 Sm 3.36-3.56, 1 Nd 3.41

(9)
DFT (PBE-GGA) results for a relaxed NdSm5Sc3 crystal.

## Properties
**Formation enthalpy at 0 K**: 448.0 meV per atom
**V**: 34.5 A^3/atom
**Calculated total energy**: -4.8141 eV per atom

Cell: 9.3123 9.3222 9.4132 Å, 118.32 105.29 104.67°
Last column: nearest neighbours and their distance in Å.
Space group P-1 (No. 2)
Unique sites:
Nd 0.2229 0.3226 0.0455 x2  3 Sc 3.03-3.33, 4 Sm 3.20-3.33
Sm 0.1193 0.1495 0.2628 x2  2 Nd 3.33-3.72, 2 Sc 3.36-3.38, 2 Sm 3.44-3.66
Sm 0.2531 0.6608 0.4144 x2  4 Sc 3.18-3.29, 1 Sm 3.20, 1 Nd 3.28
Sm 0.2537 0.7538 0.9998 x2  1 Sc 2.89
Sm 0.2717 0.9938 0.7652 x2  3 Sc 3.13-3.29, 1 Nd 3.20, 3 Sm 3.20-3.44
Sm 0.3868 0.3568 0.7373 x2  2 Nd 3.33-3.72, 2 Sc 3.35-3.38, 2 Sm 3.44-3.66
Sc 0.0000 0.5000 0.0000 x1  2 Sm 2.89, 2 Nd 3.03
Sc 0.0147 0.8414 0.3561 x2  2 Sc 3.06-3.29, 1 Nd 3.15, 4 Sm 3.19-3.38
Sc 0.4935 0.1826 0.1763 x2  1 Sc 3.05, 5 Sm 3.13-3.31, 1 Nd 3.33
Sc 0.5000 0.5000 0.5000 x1  2 Sc 3.05, 6 Sm 3.18-3.36

(10)
DFT (PBE-GGA) results for a relaxed Nd4Sm3Sc crystal.

## Properties
**Formation enthalpy at 0 K**: 118.4 meV per atom
**Distance to the lowest polymorph of the same formula**: 73 meV per atom
**V**: 33.6 A^3/atom
**Calculated total energy**: -4.8266 eV per atom

Cell: 3.5238 8.9304 8.9315 Å, 81.70 78.93 78.81°
Last column: nearest neighbours and their distance in Å.
Space group P-1 (No. 2)
Unique sites:
Nd 0.1346 0.1239 0.1124 x2  1 Sc 3.33, 3 Sm 3.44-3.63, 5 Nd 3.45-3.56
Nd 0.1357 0.6125 0.6236 x2  1 Sc 3.34, 3 Sm 3.44-3.63, 5 Nd 3.45-3.56
Sm 0.2622 0.7370 0.2371 x2  6 Nd 3.44-3.63, 3 Sm 3.52-3.85, 2 Sc 3.55-3.57
Sm 0.5000 0.0000 0.5000 x1  6 Sm 3.52-3.87, 8 Nd 3.86-3.88
Sc 0.0000 0.5000 0.0000 x1  4 Nd 3.33-3.34, 2 Sc 3.52, 4 Sm 3.55-3.57

(11)
DFT (PBE-GGA) results for a relaxed Nd6Sm12Sc crystal.

## Properties
**Formation enthalpy at 0 K**: 136.1 meV per atom
**V**: 34.3 A^3/atom
**Calculated total energy**: -4.6832 eV per atom

Cell: 12.1950 12.1950 15.1758 Å, 90.00 90.00 120.00°
Last column: nearest neighbours and their distance in Å.
Space group R-3 (No. 148, hexagonal axes)
Unique sites:
Nd 0.0158 0.4240 0.1855 x18  7 Sm 3.43-3.75, 1 Sc 3.52, 2 Nd 3.55
Sm 0.0014 0.8311 0.6883 x18  4 Sm 3.49-3.68, 4 Nd 3.51-3.75, 1 Sc 3.53
Sm 0.0497 0.8539 0.9156 x18  6 Sm 3.34-3.72, 3 Nd 3.43-3.47
Sc 0.0000 0.0000 0.5000 x3  6 Nd 3.52, 6 Sm 3.53

(12)
DFT (PBE-GGA) results for a relaxed NdSm12Sc7 crystal.

## Properties
**Formation enthalpy at 0 K**: 163.1 meV per atom
**V**: 30.8 A^3/atom
**Calculated total energy**: -5.1228 eV per atom

Cell: 14.8239 14.8239 9.7044 Å, 90.00 90.00 120.00°
Last column: nearest neighbours and their distance in Å.
Space group R-3 (No. 148, hexagonal axes)
Unique sites:
Nd 0.0000 0.0000 0.0000 x3  6 Sc 3.31, 6 Sm 3.63
Sm 0.0418 0.8469 0.2569 x18  4 Sc 3.25-3.59, 3 Sm 3.29-3.59, 1 Nd 3.63
Sm 0.0426 0.7856 0.5828 x18  3 Sc 3.22-3.40, 3 Sm 3.29-3.59
Sc 0.0000 0.0000 0.5000 x3  12 Sm 3.54-3.63
Sc 0.0716 0.8265 0.9289 x18  6 Sm 3.22-3.59, 3 Sc 3.29-3.52, 1 Nd 3.31

Copy entry 6 word for word.
DFT (PBE-GGA) results for a relaxed Nd2Sm15Sc2 crystal.

## Properties
**Formation enthalpy at 0 K**: 263.5 meV per atom
**V**: 34.2 A^3/atom
**Calculated total energy**: -4.6305 eV per atom

Cell: 11.2677 11.2677 17.7482 Å, 90.00 90.00 120.00°
Last column: nearest neighbours and their distance in Å.
Space group R-3m (No. 166, hexagonal axes)
Unique sites:
Nd 0.0000 0.0000 0.1816 x6  15 Sm 4.01-4.22, 1 Sc 4.05
Sm 0.0000 0.2910 0.5000 x18  6 Sm 3.28-3.41, 2 Sc 3.65
Sm 0.0000 0.5000 0.0000 x9  8 Sm 3.36-3.41, 2 Sc 3.52
Sm 0.0132 0.5066 0.6363 x18  6 Sm 3.30-3.38
Sc 0.0000 0.0000 0.4096 x6  1 Sc 3.21, 3 Sm 3.52